DySO4 after structural relaxation, computed with PBE.

```
DySO4
1.0
-3.213 0.340 2.764
-3.224 -4.220 0.042
4.353 -2.234 2.065
O Dy S
4 1 1
Cartesian
-3.413 -3.735 1.726
-2.068 -0.912 2.285
2.613 -2.515 2.040
-1.300 -5.066 3.690
-1.845 -2.972 3.126
-1.607 0.170 1.382
```

Values from the calculation:
The value obtained for the formation energy from raw total energies is -11.3 eV/f.u.